SmTlCdIn | PBE | optimized geometry

It has space group Pmmm (No. 47), with a = 4.6292 Å, b = 4.7138 Å, c = 4.7299 Å, α = 90.00°, β = 90.00° and γ = 90.00°. Symmetry generates all atoms from Sm at (0.0000, 0.0000, 0.0000), Tl at (0.5000, 0.5000, 0.0000), Cd at (0.0000, 0.5000, 0.5000) and In at (0.5000, 0.0000, 0.5000).

The formation energy comes out at -0.35 eV per atom. The total energy comes out at -12.12 eV/f.u.